This record from OQMD describes a geometry-optimized Dy4PdPt3 structure. The functional is PBE-GGA.

Properties
Total energy ... -6.4240 eV/atom
Calculated volume ... 177.6 Å³/cell
DFT formation energy ... -1.21 eV/atom

abc: 5.6187 4.4713 7.0709
angles: 90.00 90.10 90.00
With the nearest neighbours (Å) after each atom.
Space group Pm (No. 6)
Inequivalent atoms, fractional coordinates:
Dy1 0.0000 0.0000 0.0000 (multiplicity 1)  6 Pt 2.89-3.05, 1 Pd 3.06
Dy2 0.2152 0.0000 0.4988 (multiplicity 1)  2 Pd 2.91-3.04, 5 Pt 2.95-3.07
Dy3 0.4958 0.5000 0.8658 (multiplicity 1)  5 Pt 2.91-3.05, 2 Pd 2.99
Dy4 0.7183 0.5000 0.3587 (multiplicity 1)  5 Pt 2.88-3.05, 2 Pd 2.98
Pd1 0.7025 0.0000 0.6370 (multiplicity 1)  2 Pt 2.89, 7 Dy 2.91-3.06
Pt1 0.0085 0.5000 0.7241 (multiplicity 1)  2 Pd 2.89, 7 Dy 2.91-3.05
Pt2 0.2025 0.5000 0.2271 (multiplicity 1)  7 Dy 2.88-3.04, 2 Pt 2.92
Pt3 0.5151 0.0000 0.1365 (multiplicity 1)  7 Dy 2.89-3.07, 2 Pt 2.92

***

This record from OQMD describes a geometry-optimized Dy3Sn3PdPt2 structure. The functional is PBE-GGA.

Properties
Total energy ... -5.8396 eV/atom
Calculated volume ... 197.1 Å³/cell

abc: 7.5377 7.5377 4.0041
angles: 90.00 90.00 120.00
With the nearest neighbours (Å) after each atom.
Space group P-62m (No. 189)
Inequivalent atoms, fractional coordinates:
Dy1 0.0000 0.4078 0.0000 (multiplicity 3)  4 Pt 3.04, 1 Pd 3.07, 6 Sn 3.22-3.36
Sn1 0.0000 0.7417 0.5000 (multiplicity 3)  2 Pd 2.79, 2 Pt 2.84
Pd1 0.0000 0.0000 0.0000 (multiplicity 1)  6 Sn 2.79, 3 Dy 3.07
Pt1 0.3333 0.6667 0.5000 (multiplicity 2)  3 Sn 2.84, 6 Dy 3.04

***

This record from OQMD describes a geometry-optimized Dy3Sn3Pd2Pt structure. The functional is PBE-GGA.

Properties
Total energy ... -5.6757 eV/atom
Calculated volume ... 197.4 Å³/cell

abc: 7.5303 7.5303 4.0191
angles: 90.00 90.00 120.00
With the nearest neighbours (Å) after each atom.
Space group P-62m (No. 189)
Inequivalent atoms, fractional coordinates:
Dy1 0.0000 0.4043 0.0000 (multiplicity 3)  1 Pt 3.04, 4 Pd 3.05, 6 Sn 3.24-3.34
Sn1 0.0000 0.7410 0.5000 (multiplicity 3)  2 Pt 2.80, 2 Pd 2.83
Pd1 0.3333 0.6667 0.5000 (multiplicity 2)  3 Sn 2.83, 6 Dy 3.05
Pt1 0.0000 0.0000 0.0000 (multiplicity 1)  6 Sn 2.80, 3 Dy 3.04

***

M_tot, respectively: 0.002, 0.000, 0.001 μB per atom.